# La4Ho11S22 | Alexandria via LeMat-Bulk | PBE-GGA | optimized geometry
data_La4Ho11S22
_symmetry_space_group_name_H-M 'C 1 2/m 1'
_symmetry_Int_Tables_number 12
_cell_length_a 39.399
_cell_length_b 3.976
_cell_length_c 11.389
_cell_angle_alpha 90.00
_cell_angle_beta 91.64
_cell_angle_gamma 90.00
loop_
_symmetry_equiv_pos_as_xyz
'x,y,z'
'-x,-y,-z'
'-x,y,-z'
'x,-y,z'
'x+1/2,y+1/2,z'
'-x+1/2,-y+1/2,-z'
'-x+1/2,y+1/2,-z'
'x+1/2,-y+1/2,z'
loop_
_atom_site_label
_atom_site_fract_x
_atom_site_fract_y
_atom_site_fract_z
La1 0.105 0.000 0.012
La2 0.133 0.500 0.651
Ho1 0.000 0.000 0.000
Ho2 0.038 0.500 0.730
Ho3 0.070 0.000 0.361
Ho4 0.158 0.500 0.301
Ho5 0.203 0.000 0.941
Ho6 0.237 0.500 0.649
S1 0.008 0.000 0.240
S2 0.046 0.500 0.970
S3 0.056 0.500 0.507
S4 0.087 0.000 0.753
S5 0.093 0.500 0.212
S6 0.135 0.000 0.452
S7 0.150 0.500 0.908
S8 0.169 0.000 0.151
S9 0.190 0.000 0.691
S10 0.220 0.500 0.411
S11 0.245 0.500 0.882
# Uncorrected formation energy = -7639.0 kJ/mol of formula units